Crystalline SiW3Au at its relaxed geometry. Source: Alexandria via LeMat-Bulk, functional PBE.

a = 4.488 Å, b = 4.488 Å, c = 4.488 Å
α = 90.00°, β = 90.00°, γ = 90.00°
Fractional coordinates of all 5 atoms:
Si (0.000, 0.000, 0.000)
Au (0.500, 0.500, 0.500)
W (0.000, 0.500, 0.000)
W (0.000, 0.000, 0.500)
W (0.500, 0.000, 0.000)

Computed properties:
Distance to the lowest polymorph of the same formula ... 0.000 eV per atom
E_tot ... -8.1753 eV/atom
Formation energy from raw total energies ... 129.0 kJ/mol of atoms